Record 1
Ho4TePSe2 (PBE, optimized geometry); formation energy from raw total energies = -12.94 eV/f.u.; symmetry = P2/m (10); VASP energy = -46.776 eV per formula unit; total magnetic moment = 0.0 μB per cell; density = 8.19 g cm⁻³
1.0
7.0601 0.0000 0.0000
0.0000 4.0827 0.0000
-2.3782 0.0000 6.8683
Ho Te P Se
4 1 1 2
Cartesian
1.1432 0.0000 1.5152
-0.0620 2.0414 5.3778
4.7439 2.0414 1.4905
3.5387 0.0000 5.3532
-1.1891 0.0000 3.4342
0.0000 2.0414 0.0000
3.5301 0.0000 0.0000
2.3410 2.0414 3.4342

Record 2
SbTe2Pd (PBE, optimized geometry); formation energy from raw total energies = -0.40 eV/f.u.; symmetry = P1 (1); VASP energy = -16.000 eV per formula unit; total magnetic moment = 0.0 μB per cell; density = 6.38 g cm⁻³
1.0
3.8237 0.0000 0.0000
-1.8769 5.3966 0.0000
-0.0764 -3.0031 6.1000
Sb Te Pd
1 2 1
Cartesian
0.0000 0.0000 0.0000
1.8647 0.1137 4.2726
1.9422 3.1970 1.8790
0.0297 2.7967 0.0362

Record 3
Cu6NiAu5 (PBE, optimized geometry); symmetry = P2/m (10); energy relative to the elements = -27 meV/atom; VASP energy = -47.072 eV per formula unit; total magnetic moment = 0.0 μB per cell; density = 13.63 g cm⁻³
1.0
3.9697 0.0000 0.0000
0.0000 7.2986 0.0000
-1.9714 0.0000 5.9905
Cu Ni Au
6 1 5
Cartesian
0.0000 1.7723 0.0000
0.0000 5.5263 0.0000
0.0097 1.7700 4.0492
0.0097 5.5286 4.0492
1.9887 1.7700 1.9413
1.9887 5.5286 1.9413
1.9849 0.0000 0.0000
0.0047 0.0000 1.9276
0.0044 3.6493 2.0064
1.9849 3.6493 0.0000
1.9939 3.6493 3.9841
1.9937 0.0000 4.0629

Record 4
Zn7Pt3Au2 (PBE, optimized geometry); symmetry = Cmmm (65); energy relative to the elements = -263 meV/atom; VASP energy = -36.753 eV per formula unit; total magnetic moment = 0.0 μB per cell; density = 12.15 g cm⁻³
1.0
2.0699 -12.4503 0.0000
2.0699 12.4503 0.0000
0.0000 0.0000 3.8100
Zn Pt Au
7 3 2
Cartesian
0.0000 0.0000 0.0000
2.0699 10.4936 1.9050
2.0699 5.5336 0.0000
2.0699 1.8617 0.0000
2.0699 -1.8617 0.0000
2.0699 -5.5336 0.0000
2.0699 -10.4936 1.9050
2.0699 3.6289 1.9050
2.0699 0.0000 1.9050
2.0699 -3.6289 1.9050
2.0699 8.4550 0.0000
2.0699 -8.4550 0.0000

Record 5
LaCeCoI (PBE, optimized geometry); formation energy from raw total energies = -2.49 eV/f.u.; symmetry = Cm (8); VASP energy = -22.008 eV per formula unit; total magnetic moment = 0.5 μB per cell; density = 6.60 g cm⁻³
1.0
3.4213 -2.1241 0.0000
3.4213 2.1241 0.0000
-2.7092 0.0000 8.0410
La Ce Co I
1 1 1 1
Cartesian
0.0000 0.0000 0.0000
4.1461 0.0000 2.8849
2.2307 0.0000 1.6802
-0.3624 0.0000 5.4305

Record 6
SeS3F (PBE, optimized geometry); formation energy from raw total energies = 4.15 eV/f.u.; symmetry = Pm-3m (221); VASP energy = -13.590 eV per formula unit; total magnetic moment = 1.8 μB per cell; density = 3.05 g cm⁻³
1.0
4.7292 0.0000 0.0000
0.0000 4.7292 0.0000
0.0000 0.0000 4.7292
Se S F
1 3 1
Cartesian
0.0000 0.0000 0.0000
0.0000 0.0000 2.3646
0.0000 2.3646 0.0000
2.3646 0.0000 0.0000
2.3646 2.3646 2.3646

Record 7
GdDy2Ru (PBE, optimized geometry); symmetry = Fm-3m (225); energy relative to the elements = 74 meV/atom; VASP energy = -32.263 eV per formula unit; total magnetic moment = 7.7 μB per cell; density = 10.11 g cm⁻³
1.0
0.0000 3.6318 3.6318
3.6318 0.0000 3.6318
3.6318 3.6318 0.0000
Gd Dy Ru
1 2 1
Cartesian
0.0000 0.0000 0.0000
1.8159 1.8159 1.8159
5.4477 5.4477 5.4477
3.6318 3.6318 3.6318

Record 8
Ca3ZrH (PBE, optimized geometry); symmetry = Pm-3m (221); VASP energy = -17.149 eV per formula unit; total magnetic moment = 2.7 μB per cell; density = 2.67 g cm⁻³
1.0
5.0909 0.0000 0.0000
0.0000 5.0909 0.0000
0.0000 0.0000 5.0909
Ca Zr H
3 1 1
Cartesian
0.0000 0.0000 2.5455
0.0000 2.5455 0.0000
2.5455 0.0000 0.0000
2.5455 2.5455 2.5455
0.0000 0.0000 0.0000

Record 9
ZrPt3S (PBE, optimized geometry); formation energy from raw total energies = -0.10 eV/f.u.; symmetry = Pm-3m (221); VASP energy = -30.900 eV per formula unit; total magnetic moment = 0.0 μB per cell; density = 12.62 g cm⁻³
1.0
4.5347 0.0000 0.0000
0.0000 4.5347 0.0000
0.0000 0.0000 4.5347
Zr Pt S
1 3 1
Cartesian
0.0000 0.0000 0.0000
0.0000 2.2674 2.2674
2.2674 0.0000 2.2674
2.2674 2.2674 0.0000
2.2674 2.2674 2.2674

Record 10
TlGaS2Cl (PBE, optimized geometry); formation energy from raw total energies = 0.88 eV/f.u.; symmetry = P4/mmm (123); VASP energy = -14.616 eV per formula unit; total magnetic moment = 0.4 μB per cell; density = 4.32 g cm⁻³
1.0
5.1076 0.0000 0.0000
0.0000 5.1076 0.0000
0.0000 0.0000 5.5121
Tl Ga S Cl
1 1 2 1
Cartesian
0.0000 0.0000 0.0000
2.5538 2.5538 2.7560
0.0000 2.5538 0.0000
2.5538 0.0000 0.0000
0.0000 0.0000 2.7560

Record 11
NbTe4Pd (PBE, optimized geometry); formation energy from raw total energies = 0.14 eV/f.u.; symmetry = I-4 (82); VASP energy = -27.691 eV per formula unit; total magnetic moment = 0.0 μB per cell; density = 5.94 g cm⁻³
1.0
-3.7569 3.7569 3.5138
3.7569 -3.7569 3.5138
3.7569 3.7569 -3.5138
Nb Te Pd
1 4 1
Cartesian
0.0000 0.0000 0.0000
2.1684 -2.0780 2.1262
1.6789 1.5885 1.3876
1.5885 5.8349 -1.3876
2.0780 2.1684 4.9015
3.7569 0.0000 1.7569

Record 12
Nd3Al2Ag7 (PBE, optimized geometry); symmetry = I4/mmm (139); energy relative to the elements = -154 meV/atom; VASP energy = -43.600 eV per formula unit; total magnetic moment = 0.0 μB per cell; density = 7.65 g cm⁻³
1.0
-2.1248 2.1248 14.9312
2.1248 -2.1248 14.9312
2.1248 2.1248 -14.9312
Nd Al Ag
3 2 7
Cartesian
0.0000 0.0000 0.0000
0.0000 0.0000 5.1704
0.0000 0.0000 24.6921
0.0000 0.0000 10.9387
0.0000 0.0000 18.9238
2.1248 0.0000 2.4031
0.0000 0.0000 8.2544
2.1248 0.0000 12.5282
0.0000 0.0000 14.9312
0.0000 2.1248 2.4031
0.0000 0.0000 21.6081
0.0000 2.1248 12.5282

Number 7 is which compound? GdDy2Ru

Which formula does entry 4 have? Zn7Pt3Au2